# RbAuN2

An optimized crystal structure of RbAuN2 (GGA-PBE, Alexandria via LeMat-Bulk).

abc: 3.3869 3.3869 21.5662
angles: 90.00 90.00 120.00
Space group R-3m (No. 166, hexagonal axes)
Asymmetric unit:
Rb (0.0000, 0.0000, 0.0000) x3
Au (0.0000, 0.0000, 0.5000) x3
N (0.0000, 0.0000, 0.1228) x6

Calculated values
Fermi-level density of states: 1.1 states/eV per cell
Total energy: -3.924 eV/atom



# RbAuN

An optimized crystal structure of RbAuN (GGA-PBE, Alexandria via LeMat-Bulk).

abc: 4.5830 4.9320 10.1023
angles: 97.61 90.63 90.04
Space group P-1 (No. 2)
Asymmetric unit:
Rb (0.0053, 0.3012, 0.1907) x2
Au (0.4973, 0.2298, 0.9251) x2
N (0.4132, 0.4695, 0.4611) x2

Calculated values
Fermi-level density of states: 1.6 states/eV per cell
Total energy: -4.352 eV/atom



# Rb2AuN2

An optimized crystal structure of Rb2AuN2 (GGA-PBE, Alexandria via LeMat-Bulk).

abc: 8.4510 8.4510 3.8573
angles: 90.00 90.00 90.00
Space group P4/mbm (No. 127)
Asymmetric unit:
Rb (0.2327, 0.2673, 0.0000) x4
Au (0.0000, 0.0000, 0.5000) x2
N (0.0492, 0.5492, 0.5000) x4

Calculated values
Fermi-level density of states: 4.1 states/eV per cell
Total energy: -4.521 eV/atom



# Rb2AuN

An optimized crystal structure of Rb2AuN (GGA-PBE, Alexandria via LeMat-Bulk).

abc: 8.4349 8.4349 8.8796
angles: 90.00 90.00 90.00
Space group I-42d (No. 122)
Asymmetric unit:
Rb (0.1950, 0.2500, 0.1250) x8
Au (0.0000, 0.0000, 0.5000) x4
N (0.0000, 0.0000, 0.0000) x4

Calculated values
Fermi-level density of states: 23.4 states/eV per cell
Total energy: -2.723 eV/atom



# Rb4Au2N

An optimized crystal structure of Rb4Au2N (GGA-PBE, Alexandria via LeMat-Bulk).

abc: 5.8578 5.8578 18.3740
angles: 90.00 90.00 90.00
Space group I4/mmm (No. 139)
Asymmetric unit:
Rb (0.0000, 0.0000, 0.1966) x4
Rb (0.0000, 0.5000, 0.0000) x4
Au (0.0000, 0.0000, 0.3863) x4
N (0.0000, 0.0000, 0.5000) x2

Calculated values
Fermi-level density of states: 5.2 states/eV per cell
Total energy: -2.493 eV/atom



# RbAuN2

An optimized crystal structure of RbAuN2 (GGA-PBE, Alexandria via LeMat-Bulk).

abc: 6.4827 6.4827 7.1897
angles: 90.00 90.00 90.00
Space group I-42d (No. 122)
Asymmetric unit:
Rb (0.0000, 0.0000, 0.0000) x4
Au (0.0000, 0.0000, 0.5000) x4
N (0.1296, 0.7500, 0.6250) x8

Calculated values
Fermi-level density of states: 0.0 states/eV per cell
Total energy: -4.010 eV/atom



# RbAuN2

An optimized crystal structure of RbAuN2 (GGA-PBE, Alexandria via LeMat-Bulk).

abc: 5.2402 17.0408 5.3933
angles: 90.00 90.17 90.00
Space group C2/c (No. 15)
Asymmetric unit:
Rb (0.0000, 0.1133, 0.2500) x4
Au (0.0000, 0.5000, 0.0000) x4
N (0.1084, 0.2448, 0.7501) x8

Calculated values
Fermi-level density of states: 6.5 states/eV per cell
Total energy: -5.344 eV/atom



# RbAuN2

An optimized crystal structure of RbAuN2 (GGA-PBE, Alexandria via LeMat-Bulk).

abc: 4.6395 4.6395 19.7454
angles: 90.00 90.00 120.00
Space group R-3m (No. 166, hexagonal axes)
Asymmetric unit:
Rb (0.0000, 0.0000, 0.0000) x3
Au (0.0000, 0.0000, 0.5000) x3
N (0.0000, 0.0000, 0.4088) x6

Calculated values
Fermi-level density of states: 0.0 states/eV per cell
Total energy: -3.993 eV/atom



Asked for formation energy from raw total energies across the records above, the calculation gives 125, -16, -14, 64, 18, 117, -12, 119 kJ per mole of atoms in order.